LiBe2P: relaxed, GGA-PBEsol.

## Properties
crystal system	tetragonal
DOS at the Fermi energy	1.02	states/eV/cell
theoretical density	2.25	g/cm³
calculated formation energy	0.061	eV/atom
magnetic moment	0.0	μB per cell

a = 3.4440 Å, b = 3.4440 Å, c = 4.2527 Å
α = 113.89°, β = 113.89°, γ = 90.00°
Fractional positions:
Be  0.2500  0.7500  0.5000
Be  0.7500  0.2500  0.5000
Li  0.0000  0.0000  0.0000
P  0.5000  0.5000  0.0000